## HfTlSeO5 (PBE-GGA)

Data for a relaxed HfTlSeO5 crystal.

Cell lengths 5.9431, 5.9431, 7.8487 Å; angles 105.57, 105.57, 102.13 degrees
With the nearest neighbours (Å) after each atom.
Atoms (fractional coordinates):
Hf: 0.0000 0.5000 0.0000  6 O 2.06-2.14
Hf: 0.5000 0.0000 0.5000  6 O 2.06-2.14
Tl: 0.0513 0.9487 0.7500  5 O 2.42-2.59
Tl: 0.9487 0.0513 0.2500  5 O 2.42-2.59
Se: 0.4557 0.5443 0.7500  2 O 1.73
Se: 0.5443 0.4557 0.2500  2 O 1.73
O: 0.1838 0.2455 0.0646  1 Se 2.12, 1 Hf 2.13
O: 0.2293 0.7707 0.2500  2 Hf 2.06
O: 0.2455 0.1838 0.5646  1 Se 2.12, 1 Hf 2.13
O: 0.2748 0.6116 0.8844  1 Se 1.73
O: 0.3884 0.7252 0.6156  1 Se 1.73
O: 0.6116 0.2748 0.3844  1 Se 1.73
O: 0.7252 0.3884 0.1156  1 Se 1.73
O: 0.7545 0.8162 0.4354  1 Se 2.12, 1 Hf 2.13
O: 0.7707 0.2293 0.7500  2 Hf 2.06
O: 0.8162 0.7545 0.9354  1 Se 2.12, 1 Hf 2.13

Computed properties:
Calculated density (g/cm3): 7.34
Crystal system: monoclinic
DOS at the Fermi energy (states/eV/cell): 3.5
SG: No. 15
Total moment (Bohr magnetons per cell): 0.00
Formation energy from raw total energies (eV/f.u.): -12.76



## HfTl2SeO6 (PBE-GGA)

Data for a relaxed HfTl2SeO6 crystal.

Cell lengths 5.7323, 5.7323, 5.7323 Å; angles 119.85, 119.85, 90.26 degrees
With the nearest neighbours (Å) after each atom.
Atoms (fractional coordinates):
Hf: 0.0000 0.0000 0.0000  6 O 2.09
Tl: 0.2500 0.7500 0.5000  12 O 2.87
Tl: 0.7500 0.2500 0.5000  12 O 2.87
Se: 0.5000 0.5000 0.0000  6 O 1.96-1.97
O: 0.2580 0.2580 0.0000  1 Se 1.96, 1 Hf 2.09
O: 0.2576 0.2576 0.5152  1 Se 1.97, 1 Hf 2.09
O: 0.2576 0.7424 0.0000  1 Se 1.97, 1 Hf 2.09
O: 0.7424 0.2576 0.0000  1 Se 1.97, 1 Hf 2.09
O: 0.7420 0.7420 0.0000  1 Se 1.96, 1 Hf 2.09
O: 0.7424 0.7424 0.4848  1 Se 1.97, 1 Hf 2.09

Computed properties:
Calculated density (g/cm3): 9.48
Crystal system: tetragonal
DOS at the Fermi energy (states/eV/cell): 6.3
SG: No. 139
Total moment (Bohr magnetons per cell): 0.00
Formation energy from raw total energies (eV/f.u.): -12.52